(1)
{
  "formula": "RbNdY4Se8",
  "functional": "PBE-GGA",
  "state": "relaxed",
  "lattice_angstrom": [[8.631, 0.000, 0.000], [4.315, 7.474, 0.000], [4.315, 2.491, 7.206]],
  "species": ["Nd", "Y", "Se", "Se", "Se", "Se", "Rb", "Se", "Se", "Se", "Y", "Y", "Y", "Se"],
  "frac_coords": [[0.005, 0.005, 0.984], [0.626, 0.626, 0.123], [0.754, 0.230, 0.261], [0.754, 0.754, 0.261], [0.238, 0.800, 0.723], [0.230, 0.754, 0.261], [0.370, 0.370, 0.889], [0.757, 0.757, 0.729], [0.800, 0.238, 0.723], [0.231, 0.231, 0.308], [0.487, 0.004, 0.505], [0.004, 0.004, 0.505], [0.004, 0.487, 0.505], [0.238, 0.238, 0.723]],
  "spacegroup": "No. 160",
  "formation_energy_uncorrected_mev_per_atom": -1729
}



(2)
{
  "formula": "Rb3Nd3YSe8",
  "functional": "PBE-GGA",
  "state": "relaxed",
  "lattice_angstrom": [[8.599, 0.000, 0.001], [-4.300, 7.451, -0.033], [0.001, -4.939, 8.202]],
  "species": ["Se", "Rb", "Rb", "Se", "Se", "Nd", "Se", "Se", "Rb", "Y", "Se", "Nd", "Se", "Nd", "Se"],
  "frac_coords": [[0.228, 0.967, 0.695], [0.500, 0.500, 0.000], [0.000, 0.000, 0.000], [0.740, 0.967, 0.695], [0.260, 0.033, 0.305], [0.500, 0.500, 0.500], [0.772, 0.033, 0.305], [0.266, 0.532, 0.298], [0.000, 0.500, 0.000], [0.000, 0.000, 0.500], [0.228, 0.456, 0.695], [0.500, 0.000, 0.500], [0.734, 0.468, 0.702], [0.000, 0.500, 0.500], [0.772, 0.544, 0.305]],
  "spacegroup": "No. 166",
  "formation_energy_uncorrected_mev_per_atom": -1654
}